## Mg2PtF (PBE-GGA)

Data for a geometry-optimized Mg2PtF structure.

Values from the calculation:
* volume: 126 Å³ per cell
* ΔE_f (raw): -138.6 kJ/mol of atoms
* magnetic moment: 0.000 μB per formula unit
* space group: I-42d (122)

POSCAR file:
```
Mg2PtF
1.0
6.209 0.000 0.000
0.000 6.209 0.000
3.104 3.104 3.272
Mg Pt F
4 2 2
direct
0.195 0.625 0.250
0.375 0.445 0.750
0.555 0.125 0.250
0.875 0.805 0.750
0.000 0.000 0.000
0.750 0.250 0.500
0.500 0.500 0.000
0.250 0.750 0.500
```

## MgPtF2 (PBE-GGA)

Data for a geometry-optimized MgPtF2 structure.

Values from the calculation:
* volume: 67 Å³ per cell
* ΔE_f (raw): -208.5 kJ/mol of atoms
* magnetic moment: 0.000 μB per formula unit
* space group: R-3m (166)

POSCAR file:
```
MgPtF2
1.0
1.635 0.000 9.583
-0.818 1.416 9.583
-0.818 -1.416 9.583
F Mg Pt
2 1 1
direct
0.870 0.870 0.870
0.130 0.130 0.130
0.500 0.500 0.500
0.000 0.000 0.000
```

## MgPt2F (PBE-GGA)

Data for a geometry-optimized MgPt2F structure.

Values from the calculation:
* volume: 135 Å³ per cell
* ΔE_f (raw): -72.9 kJ/mol of atoms
* magnetic moment: 0.000 μB per formula unit
* space group: I-42d (122)

POSCAR file:
```
MgPt2F
1.0
3.586 0.000 0.000
0.000 3.586 0.000
1.793 1.793 10.479
Pt F Mg
4 2 2
direct
0.375 0.375 0.750
0.875 0.875 0.750
0.125 0.625 0.250
0.625 0.125 0.250
0.250 0.750 0.500
0.500 0.500 0.000
0.000 0.000 0.000
0.750 0.250 0.500
```

## MgPtF2 (PBE-GGA)

Data for a geometry-optimized MgPtF2 structure.

Values from the calculation:
* volume: 133 Å³ per cell
* ΔE_f (raw): -145.6 kJ/mol of atoms
* magnetic moment: 0.407 μB per formula unit
* space group: I-42d (122)

POSCAR file:
```
MgPtF2
1.0
5.636 0.000 0.000
0.000 5.636 0.000
2.818 2.818 4.184
Pt F Mg
2 4 2
direct
0.750 0.250 0.500
0.000 0.000 0.000
0.485 0.125 0.250
0.265 0.625 0.250
0.375 0.515 0.750
0.875 0.735 0.750
0.250 0.750 0.500
0.500 0.500 0.000
```